Density functional theory data (GGA+U) for a relaxed Ti2FePbF crystal.

Cell: 4.742 3.831 4.742 Å, 90.00 90.00 90.00°
Positions (direct):
F 0.000 0.500 0.000
Pb 0.500 0.500 0.500
Fe 0.000 0.000 0.000
Ti 0.500 0.000 0.000
Ti 0.000 0.000 0.500

Properties
total energy	-5.0343	eV/atom
space-group type	P4/mmm (123)
D(E_F)	3.0	states/eV/f.u.